Here is an optimized crystal structure of Ce2AlSn from the Alexandria database. Energies are from GGA-PBE.

Properties
E_form = -0.449 eV/atom
Symmetry = No. 123

a b c (Å): 4.6825 4.6825 4.5776
angles (deg): 90.00 90.00 90.00
Last column: nearest neighbours and their distance in Å.
Positions (direct):
Ce 0.0000 0.5000 0.0000  4 Sn 3.27, 4 Al 3.27, 4 Ce 3.31
Ce 0.5000 0.0000 0.0000  4 Sn 3.27, 4 Al 3.27, 4 Ce 3.31
Al 0.0000 0.0000 0.5000  8 Ce 3.27, 4 Sn 3.31
Sn 0.5000 0.5000 0.5000  8 Ce 3.27, 4 Al 3.31

---

Here is an optimized crystal structure of Ce7RuI12 from the Alexandria database. Energies are from GGA-PBE.

Properties
Uncorrected formation energy = -111.9 kJ per mole of atoms
Symmetry = No. 148

a b c (Å): 10.0158 10.0158 10.0158
angles (deg): 107.67 107.67 107.67
Last column: nearest neighbours and their distance in Å.
Positions (direct):
Ce 0.0000 0.0000 0.0000  6 I 3.21
Ce 0.1920 0.4654 0.3936  1 Ru 2.81
Ce 0.3936 0.1920 0.4654  1 Ru 2.81
Ce 0.4654 0.3936 0.1920  1 Ru 2.81
Ce 0.5346 0.6064 0.8080  1 Ru 2.81
Ce 0.6064 0.8080 0.5346  1 Ru 2.81
Ce 0.8080 0.5346 0.6064  1 Ru 2.81
Ru 0.5000 0.5000 0.5000  6 Ce 2.81
I 0.0272 0.1102 0.3472  3 Ce 3.21-3.25
I 0.1102 0.3472 0.0272  3 Ce 3.21-3.25
I 0.1838 0.5758 0.7268  3 Ce 3.22-3.43
I 0.2732 0.8162 0.4242  3 Ce 3.22-3.43
I 0.3472 0.0272 0.1102  3 Ce 3.21-3.25
I 0.4242 0.2732 0.8162  3 Ce 3.22-3.43
I 0.5758 0.7268 0.1838  3 Ce 3.22-3.43
I 0.6528 0.9728 0.8898  3 Ce 3.21-3.25
I 0.7268 0.1838 0.5758  3 Ce 3.22-3.43
I 0.8162 0.4242 0.2732  3 Ce 3.22-3.43
I 0.8898 0.6528 0.9728  3 Ce 3.21-3.25
I 0.9728 0.8898 0.6528  3 Ce 3.21-3.25